No. 1
DFT (PBE) results for crystalline Nd2InPt at its relaxed geometry.

Cell: 3.631 3.631 8.000 Å, 90.00 90.00 90.00°
Element x y z (fractional)
In 0.500 0.500 0.500
Nd 0.000 0.000 0.780
Pt 0.500 0.500 0.000
Nd 0.000 0.000 0.220

Calculated values
Distance to the lowest polymorph of the same formula = 0.000 kcal/mol of atoms
Energy of formation from the pure elements = -762 meV/atom

=====

No. 2
DFT (PBE) results for crystalline NaSiB at its relaxed geometry.

Cell: 3.463 9.353 5.840 Å, 36.80 72.75 90.00°
Element x y z (fractional)
B 0.139 0.639 0.721
B 0.861 0.361 0.279
Na 0.500 0.749 0.000
Si 0.191 0.191 0.617
Na 0.500 0.251 0.000
Si 0.809 0.809 0.383

Calculated values
E_form (uncorrected) = 41.0 meV per atom

=====

No. 3
DFT (PBE) results for crystalline AlAs5 at its relaxed geometry.

Cell: 5.911 5.911 4.927 Å, 90.00 90.00 129.31°
Element x y z (fractional)
As 0.884 0.116 0.000
As 0.116 0.884 0.000
As 0.617 0.383 0.500
Al 0.500 0.500 0.000
As 0.000 0.000 0.500
As 0.383 0.617 0.500

Calculated values
Distance to the lowest polymorph of the same formula = 2.838 kcal/mol of atoms
Energy of formation from the pure elements = 204 meV/atom

=====

No. 4
DFT (PBE) results for crystalline PrPaIr at its relaxed geometry.

Cell: 3.602 5.935 8.033 Å, 62.91 76.16 69.41°
Element x y z (fractional)
Pr 0.572 0.358 0.521
Pa 0.863 0.393 0.876
Pr 0.787 0.931 0.375
Pa 0.497 0.896 0.020
Ir 0.162 0.458 0.147
Ir 0.197 0.830 0.749

Calculated values
Distance to the lowest polymorph of the same formula = 1.250 kcal/mol of atoms
Energy of formation from the pure elements = -414 meV/atom

=====

No. 5
DFT (PBE) results for crystalline ScZnFe2 at its relaxed geometry.

Cell: 3.902 2.784 5.649 Å, 71.35 90.00 90.00°
Site moments in Bohr magnetons follow the coordinates.
Element x y z (fractional)
Sc 0.000 0.481 0.481  -0.33
Zn 0.500 0.773 0.786  -0.06
Fe 0.500 0.180 0.226  2.16
Fe 0.000 0.066 0.007  2.18

Calculated values
Energy of formation from the pure elements = -2 meV/atom

=====

No. 6
DFT (PBE) results for crystalline Y5TlSe4 at its relaxed geometry.

Cell: 5.881 7.210 7.210 Å, 80.43 65.93 65.93°
Element x y z (fractional)
Tl 0.001 0.000 0.000
Y 0.306 0.795 0.594
Y 0.696 0.205 0.406
Se 0.802 0.801 0.598
Se 0.602 0.598 0.199
Se 0.200 0.199 0.402
Y 0.900 0.406 0.795
Y 0.501 0.000 0.000
Se 0.400 0.402 0.801
Y 0.102 0.594 0.205

Calculated values
E_form (uncorrected) = -1497.4 meV per atom

=====

No. 7
DFT (PBE) results for crystalline Cr2Cd2InS6 at its relaxed geometry.

Cell: 6.420 6.420 6.610 Å, 98.52 98.52 121.06°
Site moments in Bohr magnetons follow the coordinates.
Element x y z (fractional)
Cr 0.666 0.334 0.500  3.15
S 0.418 0.057 0.717  -0.06
S 0.279 0.279 0.281  -0.02
Cd 0.838 0.162 0.000  0.06
Cd 0.162 0.838 0.000  0.06
Cr 0.334 0.666 0.500  3.15
S 0.057 0.418 0.717  -0.06
In 0.000 0.000 0.500  0.07
S 0.721 0.721 0.719  -0.02
S 0.582 0.943 0.283  -0.06
S 0.943 0.582 0.283  -0.06

Calculated values
E_form (uncorrected) = -527.0 meV per atom

=====

No. 8
DFT (PBE) results for crystalline ScTi2Cr at its relaxed geometry.

Cell: 3.132 3.132 7.043 Å, 90.00 90.00 90.00°
Element x y z (fractional)
Cr 0.500 0.500 0.000
Ti 0.000 0.000 0.195
Sc 0.500 0.500 0.500
Ti 0.000 0.000 0.805

Calculated values
Distance to the lowest polymorph of the same formula = 0.000 kcal/mol of atoms
Energy of formation from the pure elements = 90 meV/atom

=====

No. 9
DFT (PBE) results for crystalline Pm4HC2F at its relaxed geometry.

Cell: 3.700 6.397 6.434 Å, 108.94 90.00 90.00°
Element x y z (fractional)
Pm 0.000 0.240 0.725
Pm 0.500 0.259 0.272
C 0.000 0.500 0.500
Pm 0.000 0.760 0.275
H 0.000 0.000 0.000
F 0.500 0.500 0.000
Pm 0.500 0.741 0.728
C 0.500 0.000 0.500

Calculated values
Final energy = -50.07 eV/cell

=====

No. 10
DFT (PBE) results for crystalline YZr6Sc12 at its relaxed geometry.

Cell: 8.038 8.038 8.038 Å, 99.22 99.22 99.22°
Element x y z (fractional)
Sc 0.530 0.813 0.530
Sc 0.118 0.882 0.500
Sc 0.118 0.500 0.882
Sc 0.882 0.118 0.500
Sc 0.813 0.530 0.530
Sc 0.187 0.470 0.470
Zr 0.204 0.204 0.747
Zr 0.253 0.796 0.796
Zr 0.204 0.747 0.204
Y 0.000 0.000 0.000
Sc 0.470 0.470 0.187
Sc 0.882 0.500 0.118
Sc 0.470 0.187 0.470
Sc 0.500 0.882 0.118
Sc 0.530 0.530 0.813
Sc 0.500 0.118 0.882
Zr 0.796 0.253 0.796
Zr 0.796 0.796 0.253
Zr 0.747 0.204 0.204

Calculated values
Energy of formation from the pure elements = 466 meV/atom

=====

No. 11
DFT (PBE) results for crystalline Mg3BeAu at its relaxed geometry.

Cell: 5.058 5.058 5.058 Å, 90.00 90.00 90.00°
Element x y z (fractional)
Au 0.000 0.000 0.000
Be 0.500 0.500 0.500
Mg 0.000 0.000 0.500
Mg 0.500 0.000 0.000
Mg 0.000 0.500 0.000

Calculated values
Distance to the lowest polymorph of the same formula = 4.331 kcal/mol of atoms
Energy of formation from the pure elements = 401 meV/atom

=====

No. 12
DFT (PBE) results for crystalline Ce2BiTe5 at its relaxed geometry.

Cell: 4.418 8.786 13.468 Å, 90.00 90.00 90.00°
Site moments in Bohr magnetons follow the coordinates.
Element x y z (fractional)
Te 0.500 0.178 0.109  -0.04
Te 0.000 0.318 0.300  -0.04
Te 0.000 0.682 0.700  -0.04
Te 0.500 0.322 0.609  -0.04
Te 0.500 0.822 0.891  -0.04
Ce 0.500 0.469 0.825  0.68
Te 0.000 0.182 0.800  -0.04
Ce 0.500 0.531 0.175  0.68
Te 0.000 0.818 0.200  -0.04
Ce 0.500 0.969 0.675  0.68
Te 0.000 0.500 0.000  -0.06
Bi 0.000 0.000 0.000  -0.01
Ce 0.500 0.031 0.325  0.68
Bi 0.000 0.500 0.500  -0.01
Te 0.500 0.678 0.391  -0.04
Te 0.000 0.000 0.500  -0.06

Calculated values
E_form (uncorrected) = -921.6 meV per atom